Below is a relaxed PrSm2Ho9 crystal, with properties calculated at the PBE-GGA level.

Cell lengths 3.5167, 11.2484, 11.2484 Å; angles 120.00, 90.00, 90.00 degrees
With the nearest neighbours (Å) after each atom.
Fractional coordinates of all 12 atoms:
Pr1 0.0000 0.0000 0.0000  2 Pr 3.52, 12 Ho 3.87
Sm1 0.0000 0.3333 0.6667  9 Ho 3.25-3.52, 2 Sm 3.52
Sm2 0.0000 0.6667 0.3333  9 Ho 3.25-3.52, 2 Sm 3.52
Ho1 0.0000 0.0000 0.5000  2 Sm 3.25, 10 Ho 3.52-3.61
Ho2 0.0000 0.5000 0.5000  2 Sm 3.25, 10 Ho 3.52-3.61
Ho3 0.0000 0.5000 0.0000  2 Sm 3.25, 10 Ho 3.52-3.61
Ho4 0.5000 0.3538 0.1769  8 Ho 3.45-3.61, 2 Sm 3.52
Ho5 0.5000 0.1769 0.8231  8 Ho 3.45-3.61, 2 Sm 3.52
Ho6 0.5000 0.1769 0.3538  8 Ho 3.45-3.61, 2 Sm 3.52
Ho7 0.5000 0.8231 0.6462  8 Ho 3.45-3.61, 2 Sm 3.52
Ho8 0.5000 0.8231 0.1769  8 Ho 3.45-3.61, 2 Sm 3.52
Ho9 0.5000 0.6462 0.8231  8 Ho 3.45-3.61, 2 Sm 3.52

Properties
Final energy   -4.57 eV per atom
Polymorph energy (0 for the lowest one)   28 meV/atom
Formation enthalpy at 0 K   0.051 eV/atom
M_tot   0.0 μB per formula unit
Space group   P6/mmm
DOS(E_F)   17.72 states/eV/cell